[1]
## BaPa2SbO8 (GGA-PBE)

Data for an optimized crystal structure of BaPa2SbO8. Values from VASP.

Computed properties:
Formation energy from raw total energies ... -2.806 eV per atom
E_tot ... -8.20 eV per atom
Mass density ... 7.0 g cm⁻³

```
&SYSTEM
  ibrav = 0, nat = 12, ntyp = 4
/
ATOMIC_SPECIES
Ba 137.33 Ba.upf
Pa 231.04 Pa.upf
Sb 121.76 Sb.upf
O 16.00 O.upf
ATOMIC_POSITIONS crystal
Ba 0.000 0.000 0.000
Pa 0.500 0.255 0.500
Pa 0.500 0.745 0.500
Sb 0.000 0.500 0.000
O 0.208 0.293 0.209
O 0.208 0.707 0.209
O 0.311 0.500 0.689
O 0.339 0.000 0.663
O 0.661 0.000 0.337
O 0.689 0.500 0.311
O 0.792 0.293 0.791
O 0.792 0.707 0.791
CELL_PARAMETERS angstrom
5.251 0.000 0.000
0.000 7.265 0.000
-0.228 0.000 5.251
```

***

[2]
## Ba2PaSbO6 (GGA-PBE)

Data for an optimized crystal structure of Ba2PaSbO6. Values from VASP.

Computed properties:
Formation energy from raw total energies ... -2.687 eV per atom
E_tot ... -7.41 eV per atom
Mass density ... 6.8 g cm⁻³

```
&SYSTEM
  ibrav = 0, nat = 10, ntyp = 4
/
ATOMIC_SPECIES
Ba 137.33 Ba.upf
Pa 231.04 Pa.upf
Sb 121.76 Sb.upf
O 16.00 O.upf
ATOMIC_POSITIONS crystal
Ba 0.000 0.000 0.221
Ba 0.000 0.000 0.779
Pa 0.500 0.500 0.500
Sb 0.500 0.500 0.000
O 0.000 0.500 0.000
O 0.000 0.500 0.500
O 0.500 0.000 0.000
O 0.500 0.000 0.500
O 0.500 0.500 0.262
O 0.500 0.500 0.738
CELL_PARAMETERS angstrom
4.454 0.000 0.000
0.000 4.454 0.000
0.000 0.000 8.908
```

***

[3]
## Ba3PaSb2O9 (GGA-PBE)

Data for an optimized crystal structure of Ba3PaSb2O9. Values from VASP.

Computed properties:
Formation energy from raw total energies ... -2.463 eV per atom
E_tot ... -7.00 eV per atom
Mass density ... 6.7 g cm⁻³

```
&SYSTEM
  ibrav = 0, nat = 15, ntyp = 4
/
ATOMIC_SPECIES
Ba 137.33 Ba.upf
Pa 231.04 Pa.upf
Sb 121.76 Sb.upf
O 16.00 O.upf
ATOMIC_POSITIONS crystal
Ba 0.000 0.000 0.000
Ba 0.333 0.667 0.685
Ba 0.667 0.333 0.315
Pa 0.000 0.000 0.500
Sb 0.333 0.667 0.162
Sb 0.667 0.333 0.838
O 0.000 0.500 0.000
O 0.164 0.329 0.334
O 0.164 0.836 0.334
O 0.329 0.164 0.666
O 0.500 0.000 0.000
O 0.500 0.500 0.000
O 0.671 0.836 0.334
O 0.836 0.164 0.666
O 0.836 0.671 0.666
CELL_PARAMETERS angstrom
6.205 0.000 0.000
-3.102 5.374 0.000
0.000 0.000 7.636
```

***

[4]
## BaPaSbO5 (GGA-PBE)

Data for an optimized crystal structure of BaPaSbO5. Values from VASP.

Computed properties:
Formation energy from raw total energies ... -2.684 eV per atom
E_tot ... -7.73 eV per atom
Mass density ... 6.0 g cm⁻³

```
&SYSTEM
  ibrav = 0, nat = 16, ntyp = 4
/
ATOMIC_SPECIES
Ba 137.33 Ba.upf
Pa 231.04 Pa.upf
Sb 121.76 Sb.upf
O 16.00 O.upf
ATOMIC_POSITIONS crystal
Ba 0.069 0.931 0.750
Ba 0.931 0.069 0.250
Pa 0.000 0.500 0.000
Pa 0.500 0.000 0.500
Sb 0.453 0.547 0.750
Sb 0.547 0.453 0.250
O 0.171 0.263 0.058
O 0.221 0.779 0.250
O 0.235 0.613 0.871
O 0.263 0.171 0.558
O 0.387 0.765 0.629
O 0.613 0.235 0.371
O 0.737 0.829 0.442
O 0.765 0.387 0.129
O 0.779 0.221 0.750
O 0.829 0.737 0.942
CELL_PARAMETERS angstrom
4.121 -5.018 0.000
4.121 5.018 0.000
-3.765 0.000 7.573
```

***

[5]
## BaPaSb2O8 (GGA-PBE)

Data for an optimized crystal structure of BaPaSb2O8. Values from VASP.

Computed properties:
Formation energy from raw total energies ... -2.078 eV per atom
E_tot ... -7.02 eV per atom
Mass density ... 5.0 g cm⁻³

```
&SYSTEM
  ibrav = 0, nat = 12, ntyp = 4
/
ATOMIC_SPECIES
Ba 137.33 Ba.upf
Pa 231.04 Pa.upf
Sb 121.76 Sb.upf
O 16.00 O.upf
ATOMIC_POSITIONS crystal
Ba 0.000 0.000 0.000
Pa 0.000 0.000 0.500
Sb 0.333 0.667 0.770
Sb 0.667 0.333 0.230
O 0.154 0.314 0.685
O 0.160 0.846 0.685
O 0.314 0.160 0.315
O 0.333 0.667 0.016
O 0.667 0.333 0.984
O 0.686 0.840 0.685
O 0.840 0.154 0.315
O 0.846 0.686 0.315
CELL_PARAMETERS angstrom
6.087 0.000 0.000
-3.043 5.271 0.000
0.000 0.000 7.665
```

***

[6]
## BaScPaO6 (GGA-PBE)

Data for an optimized crystal structure of BaScPaO6. Values from VASP.

Computed properties:
Formation energy from raw total energies ... -2.699 eV per atom
E_tot ... -7.98 eV per atom
Mass density ... 5.7 g cm⁻³

```
&SYSTEM
  ibrav = 0, nat = 9, ntyp = 4
/
ATOMIC_SPECIES
Ba 137.33 Ba.upf
Sc 44.96 Sc.upf
Pa 231.04 Pa.upf
O 16.00 O.upf
ATOMIC_POSITIONS crystal
Ba 0.000 0.000 0.000
Sc 0.333 0.667 0.000
Pa 0.667 0.333 0.500
O 0.003 0.409 0.244
O 0.003 0.594 0.756
O 0.406 0.409 0.756
O 0.406 0.997 0.244
O 0.591 0.594 0.244
O 0.591 0.997 0.756
CELL_PARAMETERS angstrom
5.935 0.000 0.000
-2.967 5.140 0.000
0.000 0.000 4.836
```